# 1
An optimized crystal structure of Cs8K3Na. Source: the Alexandria database, functional PBE.

Unit cell a=8.942 b=8.942 c=16.598 alpha=90.00 beta=90.00 gamma=120.00
Positions (direct):
1 Cs 0.667 0.333 0.500
2 Cs 0.333 0.667 0.500
3 K 0.000 0.000 0.000
4 K 0.667 0.333 0.000
5 K 0.333 0.667 0.000
6 Cs 0.322 0.322 0.755
7 Na 0.000 0.000 0.500
8 Cs 0.000 0.322 0.245
9 Cs 0.678 0.000 0.755
10 Cs 0.678 0.678 0.245
11 Cs 0.000 0.678 0.755
12 Cs 0.322 0.000 0.245

Output
DFT formation energy   0.027 eV per atom
Symmetry   P-31m, No. 162
Electronic total energy   -0.93 eV per atom

=====

# 2
An optimized crystal structure of Cs3K2Na. Source: the Alexandria database, functional PBE.

Unit cell a=5.392 b=5.392 c=17.465 alpha=90.00 beta=90.00 gamma=90.00
Positions (direct):
1 Na 0.500 0.500 0.500
2 K 0.500 0.500 0.181
3 Cs 0.000 0.000 0.000
4 Cs 0.000 0.000 0.642
5 K 0.500 0.500 0.819
6 Cs 0.000 0.000 0.358

Output
DFT formation energy   0.012 eV per atom
Symmetry   P4/mmm, No. 123
Electronic total energy   -1.00 eV per atom

=====

# 3
An optimized crystal structure of Cs2K7Na2. Source: the Alexandria database, functional PBE.

Unit cell a=6.534 b=11.747 c=11.747 alpha=74.03 beta=73.96 gamma=73.96
Positions (direct):
1 K 0.650 0.098 0.601
2 Cs 0.866 0.633 0.633
3 K 0.500 0.000 0.000
4 K 0.650 0.601 0.098
5 Na 0.000 0.792 0.208
6 K 0.350 0.399 0.902
7 Na 0.000 0.208 0.792
8 K 0.835 0.166 0.166
9 K 0.165 0.834 0.834
10 Cs 0.134 0.367 0.367
11 K 0.350 0.902 0.399

Output
DFT formation energy   0.027 eV per atom
Symmetry   C2/m, No. 12
Electronic total energy   -1.07 eV per atom